(1)
Compound: TbNd8Sn6
Source: Alexandria
Functional: GGA-PBE
Structure: optimized geometry

Summary:
E in eV/atom: -5.02
Density of states at the Fermi level in states/eV/atom: 0.61
Total magnetic moment in μB/cell: 0.000
Crystal system: trigonal

abc: 9.3422 9.3422 8.5355
angles: 56.82 56.82 60.00
Atoms (fractional coordinates):
1 Tb 0.0000 0.0000 0.0000
2 Nd 0.5592 0.2321 0.3112
3 Nd 0.7679 0.1025 0.6888
4 Nd 0.1025 0.4408 0.6888
5 Nd 0.6661 0.6661 0.0017
6 Nd 0.3339 0.3339 0.9983
7 Nd 0.8975 0.5592 0.3112
8 Nd 0.2321 0.8975 0.3112
9 Nd 0.4408 0.7679 0.6888
10 Sn 0.3954 0.0679 0.7983
11 Sn 0.9321 0.2616 0.2017
12 Sn 0.2616 0.6046 0.2017
13 Sn 0.7384 0.3954 0.7983
14 Sn 0.0679 0.7384 0.7983
15 Sn 0.6046 0.9321 0.2017

(2)
Compound: TbNdSn
Source: Alexandria
Functional: GGA-PBE
Structure: optimized geometry

Summary:
E in eV/atom: -5.08
Density of states at the Fermi level in states/eV/atom: 1.20
Total magnetic moment in μB/cell: 0.416
E above lowest polymorph in meV/atom: 0.0
Crystal system: tetragonal

abc: 4.6497 4.6497 9.1766
angles: 104.68 104.68 89.99
Site moments in Bohr magnetons follow the coordinates.
Atoms (fractional coordinates):
1 Tb 0.5000 0.0000 0.0000  0.03
2 Tb 0.0000 0.5000 0.0000  0.03
3 Nd 0.3230 0.3230 0.6461  0.07
4 Nd 0.6770 0.6770 0.3539  0.07
5 Sn 0.8664 0.8664 0.7328  -0.01
6 Sn 0.1336 0.1336 0.2672  -0.01

(3)
Compound: Tb2Nd8Sn
Source: Alexandria
Functional: GGA-PBE
Structure: optimized geometry

Summary:
E in eV/atom: -4.67
Density of states at the Fermi level in states/eV/atom: 1.35
Total magnetic moment in μB/cell: 0.000
Crystal system: monoclinic

abc: 7.3898 8.3954 8.3954
angles: 47.96 104.57 104.57
Atoms (fractional coordinates):
1 Tb 0.7276 0.7650 0.7650
2 Tb 0.2724 0.2350 0.2350
3 Nd 0.3719 0.3379 0.8131
4 Nd 0.6281 0.1869 0.6621
5 Nd 0.2330 0.8225 0.8225
6 Nd 0.7670 0.1775 0.1775
7 Nd 0.3719 0.8131 0.3379
8 Nd 0.6281 0.6621 0.1869
9 Nd 0.9523 0.6045 0.6045
10 Nd 0.0477 0.3955 0.3955
11 Sn 0.0000 0.0000 0.0000

(4)
Compound: TbNd5Sn5
Source: Alexandria
Functional: GGA-PBE
Structure: optimized geometry

Summary:
E in eV/atom: -4.89
Density of states at the Fermi level in states/eV/atom: 0.97
Total magnetic moment in μB/cell: 0.458
Crystal system: monoclinic

abc: 6.3329 7.9474 8.6275
angles: 105.97 90.00 113.48
Site moments in Bohr magnetons follow the coordinates.
Atoms (fractional coordinates):
1 Tb 0.0000 0.0000 0.0000  0.00
2 Nd 0.6702 0.3404 0.3322  0.01
3 Nd 0.6669 0.3337 0.8322  0.02
4 Nd 0.0000 0.0000 0.5000  0.06
5 Nd 0.3331 0.6663 0.1678  0.02
6 Nd 0.3298 0.6596 0.6678  0.01
7 Sn 0.8378 0.6755 0.1658  0.00
8 Sn 0.8367 0.6734 0.6687  0.00
9 Sn 0.5000 0.0000 0.0000  -0.01
10 Sn 0.1633 0.3266 0.3313  0.00
11 Sn 0.1622 0.3245 0.8342  0.00